InHPd2: optimized geometry, PBE.

As for the density of states at the Fermi level: 0.696 states/eV/f.u. The energy above the most stable polymorph in this dataset is 0.41 eV/f.u.

The structure belongs to space group R-3m (No. 166, hexagonal axes); the cell edges are 3.0765, 3.0765 and 19.8582 Å and the angles 90.00°, 90.00° and 120.00°. The asymmetric unit holds In at (0.0000, 0.0000, 0.0000), H at (0.0000, 0.0000, 0.5000) and Pd at (0.0000, 0.0000, 0.2244).